<1>
A geometry-optimized Tm2ScAl2 structure, computed with GGA-PBE.

**Density**: 5.97 g/cm3
**Magnetization**: 0.0 μB/cell
**Density of states at the Fermi level**: 11.283 states/eV/cell

a b c (Å): 7.559 7.559 4.253
angles (deg): 90.00 90.00 90.00
Space group P4/mbm (No. 127)
Unique sites:
Tm  0.175  0.325  0.000 [4 per cell]
Sc  0.000  0.000  0.500 [2 per cell]
Al  0.123  0.623  0.500 [4 per cell]

=====

<2>
A geometry-optimized Tm2ScAl2 structure, computed with GGA-PBE.

**Density**: 5.98 g/cm3
**Magnetization**: 0.0 μB/cell
**Density of states at the Fermi level**: 10.566 states/eV/cell

a b c (Å): 4.536 6.225 8.584
angles (deg): 90.00 90.00 90.00
Space group Immm (No. 71)
Unique sites:
Tm  0.000  0.000  0.198 [4 per cell]
Sc  0.000  0.500  0.000 [2 per cell]
Al  0.000  0.288  0.500 [4 per cell]

=====

Which is most stable, and by how much? <1>, by 7 meV per atom.

=====

<1>
A geometry-optimized ScAl2V structure, computed with GGA-PBE.

**Density**: 3.67 g/cm3
**Magnetization**: 9.4 μB/cell
**Density of states at the Fermi level**: 12.881 states/eV/cell

a b c (Å): 6.472 6.472 6.472
angles (deg): 90.00 90.00 90.00
Space group Fm-3m (No. 225)
Unique sites:
Sc  0.000  0.000  0.000 [4 per cell]
Al  0.250  0.250  0.250 [8 per cell]
V  0.000  0.000  0.500 [4 per cell]

=====

<2>
A geometry-optimized ScAl2V structure, computed with GGA-PBE.

**Density**: 3.61 g/cm3
**Magnetization**: 0.0 μB/cell
**Density of states at the Fermi level**: 13.029 states/eV/cell

a b c (Å): 2.9226 2.9226 27.9866
angles (deg): 90.00 90.00 120.00
Space group R-3m (No. 166, hexagonal axes)
Unique sites:
Sc  0.0000  0.0000  0.0000 [3 per cell]
Al  0.0000  0.0000  0.2428 [6 per cell]
V  0.0000  0.0000  0.5000 [3 per cell]

=====

<3>
A geometry-optimized ScAl2V structure, computed with GGA-PBE.

**Density**: 3.21 g/cm3
**Magnetization**: 10.7 μB/cell
**Density of states at the Fermi level**: 14.326 states/eV/cell

a b c (Å): 3.972 3.972 19.648
angles (deg): 90.00 90.00 90.00
Space group I-42d (No. 122)
Unique sites:
Sc  0.000  0.000  0.000 [4 per cell]
Al  0.233  0.250  0.625 [8 per cell]
V  0.000  0.000  0.500 [4 per cell]

=====

Which is most stable, and by how much? <1>, by 188 meV per atom.

=====

<1>
A geometry-optimized ScAl2V structure, computed with GGA-PBE.

**Density**: 3.71 g/cm3
**Magnetization**: 0.2 μB/cell
**Density of states at the Fermi level**: 3.141 states/eV/cell

a b c (Å): 3.302 3.302 6.159
angles (deg): 90.00 90.00 90.00
Space group P4/mmm (No. 123)
Unique sites:
Sc  0.000  0.000  0.000 [1 per cell]
Al  0.500  0.500  0.288 [2 per cell]
V  0.000  0.000  0.500 [1 per cell]

=====

<2>
A geometry-optimized ScAl2V structure, computed with GGA-PBE.

**Density**: 3.65 g/cm3
**Magnetization**: 1.9 μB/cell
**Density of states at the Fermi level**: 3.705 states/eV/cell

a b c (Å): 4.029 4.029 4.195
angles (deg): 90.00 90.00 90.00
Space group P4/mmm (No. 123)
Unique sites:
Sc  0.000  0.000  0.000 [1 per cell]
Al  0.000  0.500  0.500 [2 per cell]
V  0.500  0.500  0.000 [1 per cell]

=====

Which is most stable, and by how much? <1>, by 11 meV per atom.

=====

<1>
A geometry-optimized Sc3AlV structure, computed with GGA-PBE.

**Density**: 3.06 g/cm3
**Magnetization**: 0.4 μB/cell
**Density of states at the Fermi level**: 7.285 states/eV/cell

a b c (Å): 4.867 4.867 4.867
angles (deg): 90.00 90.00 90.00
Space group Pm-3m (No. 221)
Unique sites:
Sc  0.000  0.000  0.500 [3 per cell]
Al  0.500  0.500  0.500 [1 per cell]
V  0.000  0.000  0.000 [1 per cell]

=====

<2>
A geometry-optimized Sc3AlV structure, computed with GGA-PBE.

**Density**: 2.63 g/cm3
**Magnetization**: 5.7 μB/cell
**Density of states at the Fermi level**: 8.291 states/eV/cell

a b c (Å): 5.120 5.120 5.120
angles (deg): 90.00 90.00 90.00
Space group Pm-3m (No. 221)
Unique sites:
Sc  0.000  0.000  0.500 [3 per cell]
Al  0.000  0.000  0.000 [1 per cell]
V  0.500  0.500  0.500 [1 per cell]

=====

Which is most stable, and by how much? <1>, by 251 meV per atom.

=====

<1>
A geometry-optimized ScAl4W structure, computed with GGA-PBE.

**Density**: 5.78 g/cm3
**Magnetization**: 0.0 μB/cell
**Density of states at the Fermi level**: 12.435 states/eV/cell

a b c (Å): 7.286 7.286 7.286
angles (deg): 90.00 90.00 90.00
Space group F-43m (No. 216)
Unique sites:
Sc  0.000  0.000  0.000 [4 per cell]
Al  0.125  0.125  0.375 [16 per cell]
W  0.250  0.250  0.750 [4 per cell]

=====

<2>
A geometry-optimized ScAl4W structure, computed with GGA-PBE.

**Density**: 5.11 g/cm3
**Magnetization**: 0.0 μB/cell
**Density of states at the Fermi level**: 14.771 states/eV/cell

a b c (Å): 12.861 6.404 5.879
angles (deg): 90.00 115.31 90.00
Space group C2/m (No. 12)
Unique sites:
Sc  0.214  0.000  0.361 [4 per cell]
Al  0.000  0.193  0.000 [4 per cell]
Al  0.117  0.206  0.693 [8 per cell]
Al  0.175  0.500  0.087 [4 per cell]
W  0.038  0.500  0.321 [4 per cell]

=====

Which is most stable, and by how much? <1>, by 108 meV per atom.

=====

<1>
A geometry-optimized ScAlW3 structure, computed with GGA-PBE.

**Density**: 10.48 g/cm3
**Magnetization**: 0.0 μB/cell
**Density of states at the Fermi level**: 4.463 states/eV/cell

a b c (Å): 4.623 4.623 4.623
angles (deg): 90.00 90.00 90.00
Space group Pm-3m (No. 221)
Unique sites:
Sc  0.000  0.000  0.000 [1 per cell]
Al  0.500  0.500  0.500 [1 per cell]
W  0.000  0.000  0.500 [3 per cell]

=====

<2>
A geometry-optimized ScAlW3 structure, computed with GGA-PBE.

**Density**: 10.60 g/cm3
**Magnetization**: 0.0 μB/cell
**Density of states at the Fermi level**: 6.232 states/eV/cell

a b c (Å): 4.605 4.605 4.605
angles (deg): 90.00 90.00 90.00
Space group Pm-3m (No. 221)
Unique sites:
Sc  0.000  0.000  0.000 [1 per cell]
Al  0.500  0.500  0.500 [1 per cell]
W  0.000  0.500  0.500 [3 per cell]

=====

Which is most stable, and by how much? <2>, by 855 meV per atom.